1.
The following is a DFT calculation (PBE) of a geometry-optimized PrHoCo structure.

Cell: 4.7619 4.7619 4.7619 Å, 60.00 60.00 60.00°
Fractional coordinates of all 3 atoms:
1 Ho 0.0000 0.0000 0.0000
2 Pr 0.7500 0.7500 0.7500
3 Co 0.2500 0.2500 0.2500

Computed properties:
As for the energy of formation: 2.255 eV per formula unit. The final energy comes out at -4.734 eV/atom. For the total magnetization, the calculation gives 0.004 μB/atom.


2.
The following is a DFT calculation (PBE) of a geometry-optimized CsBaPa structure.

Cell: 5.9389 5.9389 5.9389 Å, 60.00 60.00 60.00°
Fractional coordinates of all 3 atoms:
1 Ba 0.2500 0.2500 0.2500
2 Cs 0.0000 0.0000 0.0000
3 Pa 0.7500 0.7500 0.7500

Computed properties:
The calculation puts the energy relative to the lowest polymorph listed for this composition at 0.00 eV per formula unit. The final energy comes out at -2.286 eV/atom. For the total magnetization, the calculation gives 0.836 μB/atom.


3.
The following is a DFT calculation (PBE) of a geometry-optimized YAlCo2 structure.

Cell: 4.3953 4.3953 4.3953 Å, 60.00 60.00 60.00°
Fractional coordinates of all 4 atoms:
1 Y 0.2500 0.2500 0.2500
2 Co 0.0000 0.0000 0.0000
3 Co 0.7500 0.7500 0.7500
4 Al 0.5000 0.5000 0.5000

Computed properties:
The final energy comes out at -5.897 eV/atom. For the total magnetization, the calculation gives 0.009 μB/atom.


4.
The following is a DFT calculation (PBE) of a geometry-optimized BaTbO3 structure.

Cell: 6.7659 6.5001 8.5038 Å, 90.00 90.00 90.00°
Fractional coordinates of all 20 atoms:
1 Tb 0.5618 0.4749 0.7500
2 Tb 0.4382 0.5251 0.2500
3 Tb 0.9382 0.9749 0.7500
4 Tb 0.0618 0.0251 0.2500
5 O 0.6228 0.4007 0.4465
6 O 0.6733 0.1548 0.7500
7 O 0.3772 0.5993 0.9465
8 O 0.8772 0.9007 0.4465
9 O 0.8267 0.6548 0.7500
10 O 0.1733 0.3452 0.2500
11 O 0.8772 0.9007 0.0535
12 O 0.3772 0.5993 0.5535
13 O 0.3267 0.8452 0.2500
14 O 0.1228 0.0993 0.5535
15 O 0.6228 0.4007 0.0535
16 O 0.1228 0.0993 0.9465
17 Ba 0.5000 0.0000 0.5000
18 Ba 0.0000 0.5000 0.0000
19 Ba 0.5000 0.0000 0.0000
20 Ba 0.0000 0.5000 0.5000

Computed properties:
The final energy comes out at -6.846 eV/atom. For the total magnetization, the calculation gives 0.201 μB/atom.


5.
The following is a DFT calculation (PBE) of a geometry-optimized CsTmHgTe3 structure.

Cell: 10.3368 10.3368 10.0804 Å, 100.28 100.28 24.92°
Fractional coordinates of all 12 atoms:
1 Te 0.3248 0.3248 0.6356
2 Te 0.0000 0.0000 0.5000
3 Te 0.6674 0.6674 0.7681
4 Te 0.3326 0.3326 0.2319
5 Te 0.6752 0.6752 0.3644
6 Te 0.5000 0.5000 0.0000
7 Cs 0.8510 0.8510 0.9377
8 Cs 0.1490 0.1490 0.0623
9 Hg 0.5207 0.5207 0.7182
10 Hg 0.4793 0.4793 0.2818
11 Tm 0.1727 0.1727 0.5661
12 Tm 0.8273 0.8273 0.4339

Computed properties:
The final energy comes out at -3.356 eV/atom. For the total magnetization, the calculation gives 0.006 μB/atom.


6.
The following is a DFT calculation (PBE) of a geometry-optimized Cs2TlCdCl6 structure.

Cell: 7.6627 7.6627 7.6624 Å, 119.96 119.96 60.04°
Fractional coordinates of all 10 atoms:
1 Cs 0.2502 0.2502 0.7500
2 Cs 0.7498 0.7498 0.2500
3 Cl 0.7573 0.7573 0.7566
4 Cl 0.2427 0.2427 0.2434
5 Cl 0.7569 0.2419 0.2422
6 Cl 0.7581 0.2431 0.7578
7 Cl 0.2431 0.7581 0.7578
8 Cl 0.2419 0.7569 0.2422
9 Tl 0.5000 0.5000 0.5000
10 Cd 0.0000 0.0000 0.0000

Computed properties:
The final energy comes out at -2.981 eV/atom.